(1)
The following is a DFT calculation (PBE) of crystalline Li3BeTe at its relaxed geometry.

Results
ΔE_f (raw) = 13 kJ per mole of atoms
Energy above the most stable polymorph in this dataset = 0 meV/atom
DOS at the Fermi energy = 3.70 states/eV per cell
Space-group type = Pm-3m (221)
Total moment = 0.00 μB/cell

```
5
Lattice="5.168 0.000 0.000 0.000 5.168 0.000 0.000 0.000 5.168" Properties=species:S:1:pos:R:3 pbc="T T T"
Be 2.584 2.584 2.584
Te 0.000 0.000 0.000
Li 0.000 2.584 0.000
Li 0.000 0.000 2.584
Li 2.584 0.000 0.000
```

---

(2)
The following is a DFT calculation (PBE) of crystalline LiBe2Te at its relaxed geometry.

Results
ΔE_f (raw) = 38 kJ per mole of atoms
DOS at the Fermi energy = 1.30 states/eV per cell
Space-group type = C2/m (12)
Total moment = 0.00 μB/cell

```
4
Lattice="5.846 -0.002 -0.002 -3.299 4.825 -0.002 0.831 1.574 2.304" Properties=species:S:1:pos:R:3 pbc="T T T"
Be 0.000 0.000 0.000
Be 1.273 2.412 -0.002
Li 3.338 0.786 1.151
Te -1.234 3.200 1.151
```

---

Number 1: total DFT energy (no corrections) -2.387 eV per atom. Number 2: total DFT energy (no corrections) -2.730 eV per atom.